Record 1
Entry from the Alexandria database: a geometry-optimized Li3NdY2Se6 structure (PBE).

The structure belongs to space group C2/m (No. 12); the cell edges are 7.1328, 12.3585 and 6.9329 Å and the angles 90.00°, 110.02° and 90.00°. Symmetry generates all atoms from Li at (0.0000, 0.0000, 0.0000), Li at (0.0000, 0.3316, 0.0000), Nd at (0.0000, 0.5000, 0.5000), Y at (0.0000, 0.1665, 0.5000), Se at (0.2441, 0.0000, 0.7566) and Se at (0.2446, 0.1706, 0.2450).

For the final energy, the calculation gives -5.384 eV/atom. The value obtained for the energy relative to the elements, uncorrected is -38.9 kcal/mol of atoms. The crystal system is monoclinic.


Record 2
Entry from the Alexandria database: a geometry-optimized LiNd2Y3Se6 structure (PBE).

The structure belongs to space group C2/m (No. 12); the cell edges are 18.0266, 4.1145 and 8.2759 Å and the angles 90.00°, 103.53° and 90.00°. Symmetry generates all atoms from Li at (0.0000, 0.0000, 0.0000), Nd at (0.1694, 0.5000, 0.3403), Y at (0.0000, 0.0000, 0.5000), Y at (0.1674, 0.5000, 0.8300), Se at (0.0021, 0.5000, 0.7552), Se at (0.1618, 0.0000, 0.5911) and Se at (0.1638, 0.0000, 0.0731).

For the final energy, the calculation gives -6.094 eV/atom. The value obtained for the energy relative to the elements, uncorrected is -41.1 kcal/mol of atoms. The crystal system is monoclinic.


Record 3
Entry from the Alexandria database: a geometry-optimized LiNd3Y2Se6 structure (PBE).

The structure belongs to space group C2/m (No. 12); the cell edges are 7.1280, 12.3786 and 7.2271 Å and the angles 90.00°, 109.35° and 90.00°. Symmetry generates all atoms from Li at (0.0000, 0.0000, 0.0000), Nd at (0.0000, 0.1665, 0.5000), Nd at (0.0000, 0.5000, 0.5000), Y at (0.0000, 0.3346, 0.0000), Se at (0.2402, 0.1629, 0.2334) and Se at (0.2468, 0.0000, 0.7683).

For the final energy, the calculation gives -5.957 eV/atom. The value obtained for the energy relative to the elements, uncorrected is -41.2 kcal/mol of atoms. The crystal system is monoclinic.


Record 4
Entry from the Alexandria database: a geometry-optimized LiNd3Y3Se8 structure (PBE).

The structure belongs to space group R-3m (No. 166, hexagonal axes); the cell edges are 8.2365, 8.2365 and 20.3377 Å and the angles 90.00°, 90.00° and 120.00°. Symmetry generates all atoms from Li at (0.0000, 0.0000, 0.0000), Nd at (0.0000, 0.5000, 0.5000), Y at (0.0000, 0.5000, 0.0000), Se at (0.0000, 0.0000, 0.2537) and Se at (0.0009, 0.5005, 0.7460).

For the final energy, the calculation gives -6.042 eV/atom. The value obtained for the energy relative to the elements, uncorrected is -41.7 kcal/mol of atoms. The crystal system is trigonal.


Record 5
Entry from the Alexandria database: a geometry-optimized LiNdY2Se4 structure (PBE).

The structure belongs to space group P2/m (No. 10); the cell edges are 7.1214, 4.0932 and 7.1314 Å and the angles 90.00°, 109.21° and 90.00°. Symmetry generates all atoms from Li at (0.0000, 0.0000, 0.0000), Nd at (0.5000, 0.5000, 0.0000), Y at (0.0000, 0.5000, 0.5000), Y at (0.5000, 0.0000, 0.5000), Se at (0.2381, 0.0000, 0.7460) and Se at (0.2424, 0.5000, 0.2502).

For the final energy, the calculation gives -5.951 eV/atom. The value obtained for the energy relative to the elements, uncorrected is -40.5 kcal/mol of atoms. The crystal system is monoclinic.


Record 6
Entry from the Alexandria database: a geometry-optimized Li2NdY3Se6 structure (PBE).

The structure belongs to space group C2/m (No. 12); the cell edges are 7.0567, 12.2185 and 7.1016 Å and the angles 90.00°, 109.46° and 90.00°. Symmetry generates all atoms from Li at (0.0000, 0.1690, 0.0000), Nd at (0.0000, 0.5000, 0.0000), Y at (0.0000, 0.0000, 0.5000), Y at (0.0000, 0.3353, 0.5000), Se at (0.2383, 0.0000, 0.2474) and Se at (0.2456, 0.1719, 0.7517).

For the final energy, the calculation gives -5.813 eV/atom. The value obtained for the energy relative to the elements, uncorrected is -40.1 kcal/mol of atoms. The crystal system is monoclinic.


Q: Which formula does entry 3 have?
A: LiNd3Y2Se6